Material: Ag3PSe4
Method: DFT, PBE
State: optimized geometry

Computed properties:
The calculated total energy is -3.56 eV/atom. As for the crystal system: cubic.

a b c (Å): 7.3170 7.3170 7.3170
angles (deg): 90.00 90.00 90.00
With the nearest neighbours (Å) after each atom.
Space group P-43n (No. 218)
One atom of each set of equivalent atoms:
1 Ag 0.0000 0.2500 0.5000 (multiplicity 6)  4 Se 2.74
2 P 0.0000 0.0000 0.0000 (multiplicity 2)  4 Se 2.26
3 Se 0.1782 0.1782 0.8218 (multiplicity 8)  1 P 2.26